Here is a geometry-optimized NdTmZr2 structure from Alexandria. Energies are from PBE-GGA. Values from VASP.

energy of formation = 0.2237 eV/atom
energy = -6.36 eV/atom
crystal system = tetragonal
SG = P4/mmm
E above lowest polymorph = 0.075 eV per atom

The structure in Quantum ESPRESSO input format:
```
&SYSTEM
  ibrav = 0, nat = 4, ntyp = 3
/
ATOMIC_SPECIES
Tm 168.93 Tm.upf
Nd 144.24 Nd.upf
Zr 91.22 Zr.upf
CELL_PARAMETERS angstrom
3.945 0.000 0.000
0.000 3.945 0.000
0.000 0.000 6.966
ATOMIC_POSITIONS crystal
Tm 0.500 0.500 0.500
Nd 0.500 0.500 0.000
Zr 0.000 0.000 0.723
Zr 0.000 0.000 0.277
```

Here is a geometry-optimized CaPmSn structure from Alexandria. Energies are from PBE-GGA. Values from VASP.

energy of formation = -0.4850 eV/atom
energy = -4.07 eV/atom
crystal system = cubic
SG = F-43m
E above lowest polymorph = 0.091 eV per atom

The structure in Quantum ESPRESSO input format:
```
&SYSTEM
  ibrav = 0, nat = 3, ntyp = 3
/
ATOMIC_SPECIES
Ca 40.08 Ca.upf
Sn 118.71 Sn.upf
Pm 145.00 Pm.upf
CELL_PARAMETERS angstrom
-4.657 2.273 -1.050
-4.462 -2.126 1.877
-2.677 2.443 3.850
ATOMIC_POSITIONS crystal
Ca 0.500 0.500 0.500
Sn 0.250 0.250 0.250
Pm 0.000 0.000 0.000
```

Here is a geometry-optimized SmCo3P2 structure from Alexandria. Energies are from PBE-GGA. Values from VASP.

energy of formation = -0.8910 eV/atom
energy = -7.03 eV/atom
crystal system = orthorhombic
SG = Pmmn
E above lowest polymorph = 0.000 eV per atom

The structure in Quantum ESPRESSO input format:
```
&SYSTEM
  ibrav = 0, nat = 36, ntyp = 3
/
ATOMIC_SPECIES
Sm 150.36 Sm.upf
Co 58.93 Co.upf
P 30.97 P.upf
CELL_PARAMETERS angstrom
-2.577 2.687 0.347
-3.645 -4.634 8.805
7.836 6.644 6.741
ATOMIC_POSITIONS crystal
Sm 0.000 0.500 0.521
Sm 0.500 0.000 0.479
Sm 0.500 0.817 0.206
Sm 0.500 0.183 0.206
Sm 0.000 0.683 0.794
Sm 0.000 0.317 0.794
Co 0.500 0.500 0.157
Co 0.000 0.000 0.843
Co 0.500 0.500 0.704
Co 0.000 0.000 0.296
Co 0.000 0.500 0.987
Co 0.500 0.000 0.013
Co 0.500 0.334 0.996
Co 0.500 0.666 0.996
Co 0.000 0.166 0.004
Co 0.000 0.834 0.004
Co 0.500 0.297 0.430
Co 0.500 0.703 0.430
Co 0.000 0.203 0.570
Co 0.000 0.797 0.570
Co 0.500 0.881 0.711
Co 0.500 0.119 0.711
Co 0.000 0.619 0.289
Co 0.000 0.381 0.289
P 0.500 0.500 0.885
P 0.000 0.000 0.115
P 0.500 0.500 0.341
P 0.000 0.000 0.659
P 0.500 0.308 0.615
P 0.500 0.692 0.615
P 0.000 0.192 0.385
P 0.000 0.808 0.385
P 0.500 0.848 0.895
P 0.500 0.152 0.895
P 0.000 0.652 0.105
P 0.000 0.348 0.105
```